Record 1
{
  "formula": "NiSbW2",
  "functional": "PBE-GGA",
  "state": "optimized geometry",
  "lattice": [[3.842, 0.000, 0.000], [0.000, 3.842, 0.000], [0.000, 0.000, 8.671]],
  "species": ["Ni", "Ni", "Sb", "Sb", "W", "W", "W", "W"],
  "frac_coords": [[0.000, 0.000, 0.000], [0.500, 0.500, 0.500], [0.000, 0.000, 0.500], [0.500, 0.500, 0.000], [0.000, 0.500, 0.250], [0.000, 0.500, 0.750], [0.500, 0.000, 0.250], [0.500, 0.000, 0.750]],
  "spacegroup": "I4/mmm (139)",
  "raw_formation_energy_ev_per_atom": 0.4488
}

=====

Record 2
{
  "formula": "PmMoIr",
  "functional": "PBE-GGA",
  "state": "optimized geometry",
  "lattice": [[8.543, 0.000, 0.000], [0.000, 6.023, 0.000], [-2.648, 0.000, 4.778]],
  "species": ["Pm", "Pm", "Pm", "Pm", "Mo", "Mo", "Mo", "Mo", "Ir", "Ir", "Ir", "Ir"],
  "frac_coords": [[0.197, 0.000, 0.115], [0.303, 0.500, 0.885], [0.697, 0.500, 0.115], [0.803, 0.000, 0.885], [0.100, 0.500, 0.254], [0.400, 0.000, 0.746], [0.600, 0.000, 0.254], [0.900, 0.500, 0.746], [0.000, 0.210, 0.500], [0.000, 0.790, 0.500], [0.500, 0.290, 0.500], [0.500, 0.710, 0.500]],
  "spacegroup": "C2/m (12)",
  "formation_enthalpy_0k_kj_per_mol_atoms": -5.1
}

=====

Calculated energy (eV/f.u.), listed in the same order as above: -34.01 -24.60
Calculated D(E_F) (states/eV/atom), listed in the same order as above: 0.946 0.941